Density functional theory data (GGA-PBE) for an optimized crystal structure of CsNpCuBr6.

```
9
Lattice="9.1469 -0.6266 0.9979 3.9718 5.3982 0.1657 1.0442 -0.3155 6.9732" Properties=species:S:1:pos:R:3 pbc="T T T"
Cs 3.8563 3.8864 0.3838
Np 9.0976 3.2563 4.1687
Cu 6.3657 1.0824 4.3140
Br 9.6689 1.4736 2.1484
Br 4.6295 0.0292 5.7729
Br 8.2226 1.2651 5.9133
Br 11.6408 2.9118 5.1103
Br 6.3258 3.4355 3.5011
Br 5.9892 -0.1424 2.2316
```

Density functional theory data (GGA-PBE) for an optimized crystal structure of Cs4NpCu3Br12.

```
20
Lattice="-7.4079 -1.4071 5.6626 7.9507 -0.4792 5.0477 -0.6745 8.5120 -4.0017" Properties=species:S:1:pos:R:3 pbc="T T T"
Cs -0.0658 3.3129 3.3543
Cs -0.3372 4.2560 -2.0009
Cs -3.7040 -0.7036 2.8313
Cs 3.9754 -0.2396 2.5238
Np 0.0000 0.0000 0.0000
Cu -4.0412 3.5524 0.8305
Cu 0.2714 -0.9431 5.3552
Cu 3.6381 4.0164 0.5230
Br 1.6175 5.7926 0.9382
Br -6.0358 5.3058 1.2404
Br -2.0466 1.7991 0.4206
Br -1.7492 0.8331 5.7704
Br 0.4054 -1.4086 7.9982
Br 0.1375 -0.4776 2.7121
Br -3.9055 3.0809 3.5080
Br 3.7738 3.5448 3.2006
Br -2.2221 5.5606 1.0920
Br 5.4337 5.9987 0.7811
Br 2.0905 1.0651 5.6166
Br 1.8425 2.0341 0.2649
```

Density functional theory data (GGA-PBE) for an optimized crystal structure of CsNpCu2Br6.

```
10
Lattice="-4.8364 0.7391 -5.4878 -6.8046 -2.6922 0.7095 -6.4784 6.7827 1.6981" Properties=species:S:1:pos:R:3 pbc="T T T"
Cs 0.0000 0.0000 0.0000
Np -9.0597 2.4148 -1.5401
Cu -13.4273 3.1579 -2.5157
Cu -4.6921 1.6717 -0.5645
Br -8.2241 3.6391 0.9681
Br -8.8068 5.0674 -2.7182
Br -6.3464 1.6427 -2.2681
Br -9.8953 1.1905 -4.0483
Br -9.3126 -0.2378 -0.3620
Br -11.7730 3.1869 -0.8121
```

Density functional theory data (GGA-PBE) for an optimized crystal structure of Cs3NpCu2Br9.

```
15
Lattice="-4.4235 -3.1276 -6.0428 7.6731 2.2759 -1.3450 3.1845 -9.2767 2.4702" Properties=species:S:1:pos:R:3 pbc="T T T"
Cs 5.6974 -5.5159 -1.3157
Cs 0.0000 0.0000 0.0000
Cs 0.7368 -4.6125 -3.6018
Np 1.5923 -4.6383 1.2351
Cu 3.7424 0.1790 -2.8322
Cu 2.6917 -10.3074 -2.0854
Br -0.3632 -8.3685 -3.6526
Br 3.5790 -7.1992 -4.3437
Br 1.9095 -6.7616 -0.5480
Br 4.5246 -3.3668 -4.3696
Br 2.8551 -2.9292 -0.5739
Br 6.7973 -1.7599 -1.2650
Br -2.2118 -1.5638 -3.0214
Br 3.8365 1.1379 -0.6725
Br 1.6248 -0.4259 -3.6939
```

Density functional theory data (GGA-PBE) for an optimized crystal structure of CsCuOsBr6.

```
9
Lattice="6.7559 0.0000 -0.0005 3.3780 5.8506 0.0007 -0.0004 0.0010 8.2415" Properties=species:S:1:pos:R:3 pbc="T T T"
Cs 6.7555 0.0012 8.2409
Cu 6.7564 3.9014 4.1209
Os 3.3774 1.9506 4.1207
Br 1.3105 2.0854 2.7038
Br 2.4605 0.0932 5.5376
Br 5.4445 2.0840 5.5378
Br 2.2285 3.6728 5.5393
Br 4.5266 3.6741 2.7038
Br 4.2945 0.0946 2.7022
```

Density functional theory data (GGA-PBE) for an optimized crystal structure of Cs2CuPBr6.

```
10
Lattice="7.5615 0.0000 0.0000 0.0000 7.5615 0.0000 3.7807 3.7807 5.3355" Properties=species:S:1:pos:R:3 pbc="T T T"
Cs 7.5615 3.7807 2.6677
Cs 3.7807 7.5615 2.6677
P 3.7807 3.7807 0.0000
Cu 0.0000 0.0000 0.0000
Br 3.7807 3.7807 2.6476
Br 7.5615 7.5615 2.6879
Br 1.9128 1.9128 0.0000
Br 5.6486 5.6486 0.0000
Br 5.6486 1.9128 0.0000
Br 1.9128 5.6486 0.0000
```

Density functional theory data (GGA-PBE) for an optimized crystal structure of Cs3Cu2PbBr6.

```
12
Lattice="8.4873 0.0000 0.0000 -4.2436 7.3502 0.0000 0.0000 0.0000 8.9596" Properties=species:S:1:pos:R:3 pbc="T T T"
Cs 0.0000 4.9001 5.8922
Cs 4.2437 2.4501 3.0675
Cs 0.0000 0.0000 0.0000
Cu 4.2437 2.4501 6.6321
Cu 0.0000 4.9001 2.3275
Pb 0.0000 0.0000 4.4798
Br 2.0532 6.0855 2.6122
Br 0.0000 2.5293 2.6122
Br -2.0532 6.0855 2.6122
Br 4.2437 4.8209 6.3475
Br 2.1905 1.2647 6.3475
Br 6.2968 1.2647 6.3475
```

Density functional theory data (GGA-PBE) for an optimized crystal structure of Cs2CuPbBr6.

```
10
Lattice="-5.4627 -4.6152 3.3002 4.5535 -6.2992 -1.2721 1.9557 -4.7268 6.0252" Properties=species:S:1:pos:R:3 pbc="T T T"
Pb 0.0000 0.0000 0.0000
Cs -1.9808 -7.3996 5.1697
Cs 3.0273 -8.2416 2.8836
Cu -0.4546 -5.4572 1.0140
Br 0.6890 -5.1107 3.3916
Br 0.3575 -10.5306 4.6616
Br -0.2409 -2.8921 0.5374
Br -0.6683 -8.0223 1.4907
Br -2.8086 -5.0614 2.0886
Br 1.8994 -5.8530 -0.0605
```

The calculation returns the following formation energy from raw total energies values, one per record and in order: -1.191 -1.105 -0.984 -1.219 -0.511 -0.855 -0.961 -1.083 eV/atom.